No. 1
Compound: CaNd12Ho7
Source: Alexandria via LeMat-Bulk
Functional: PBE
Structure: relaxed

The structure in POSCAR format:
```
CaNd12Ho7
1.0
9.531 0.000 -3.370
-4.765 8.254 -3.370
0.000 0.000 10.109
Ca Nd Ho
1 12 7
Direct
0.000 0.000 0.000
0.476 0.737 0.738
0.999 0.737 0.262
0.524 0.263 0.262
0.001 0.263 0.738
0.738 0.001 0.263
0.738 0.476 0.737
0.262 0.999 0.737
0.262 0.524 0.263
0.737 0.738 0.476
0.263 0.262 0.524
0.737 0.262 0.999
0.263 0.738 0.001
0.500 0.500 0.000
0.000 0.500 0.500
0.500 0.000 0.500
0.500 0.500 0.500
0.000 0.000 0.500
0.500 0.000 0.000
0.000 0.500 0.000
```

Calculated values
The value obtained for the total energy is -78.5 eV/cell. The space-group type is No. 204. The offset from the most stable computed form is 9.93 eV per formula unit. The calculation puts the formation energy at 0.64 eV per atom. Its volume is 39.76 Å³ per atom.

---

No. 2
Compound: CaNd6Ho2
Source: Alexandria via LeMat-Bulk
Functional: PBE
Structure: relaxed

The structure in POSCAR format:
```
CaNd6Ho2
1.0
-2.322 -2.821 0.304
2.449 0.652 2.650
-18.073 16.246 12.712
Ca Nd Ho
1 6 2
Direct
0.667 0.333 0.000
0.333 0.667 0.117
0.667 0.333 0.566
0.667 0.333 0.224
0.667 0.333 0.776
0.667 0.333 0.434
0.333 0.667 0.883
0.333 0.667 0.668
0.333 0.667 0.332
```

Calculated values
The value obtained for the total energy is -39.2 eV/cell. The space-group type is No. 187. The calculation puts the formation energy at 0.06 eV per atom. Its volume is 35.48 Å³ per atom.

---

No. 3
Compound: CaNd3Ho3
Source: Alexandria via LeMat-Bulk
Functional: PBE
Structure: relaxed

The structure in POSCAR format:
```
CaNd3Ho3
1.0
8.141 -0.001 3.210
3.435 7.383 3.213
1.165 0.746 8.966
Ca Nd Ho
2 6 6
Direct
0.655 0.654 0.036
0.345 0.346 0.964
0.271 0.433 0.365
0.931 0.270 0.366
0.433 0.931 0.365
0.567 0.069 0.635
0.069 0.730 0.634
0.729 0.567 0.635
0.279 0.828 0.825
0.827 0.067 0.826
0.067 0.279 0.824
0.933 0.721 0.176
0.173 0.933 0.174
0.721 0.172 0.175
```

Calculated values
The value obtained for the total energy is -57.1 eV/cell. The space-group type is No. 2. The calculation puts the formation energy at 0.21 eV per atom. Its volume is 35.71 Å³ per atom.

---

No. 4
Compound: CaNd5Ho6
Source: Alexandria via LeMat-Bulk
Functional: PBE
Structure: relaxed

The structure in POSCAR format:
```
CaNd5Ho6
1.0
-4.331 -1.286 4.340
-1.829 -5.980 -5.098
5.687 -5.059 2.676
Ca Nd Ho
1 5 6
Direct
0.000 0.000 0.000
0.500 0.831 0.169
0.000 0.663 0.337
0.500 0.500 0.500
0.000 0.337 0.663
0.500 0.169 0.831
0.746 0.915 0.577
0.254 0.423 0.085
0.255 0.748 0.748
0.745 0.252 0.252
0.746 0.577 0.915
0.254 0.085 0.423
```

Calculated values
The value obtained for the total energy is -52.8 eV/cell. The space-group type is No. 12. The calculation puts the formation energy at 0.04 eV per atom. Its volume is 33.31 Å³ per atom.

---

No. 5
Compound: CaNdHo2
Source: Alexandria via LeMat-Bulk
Functional: PBE
Structure: relaxed

The structure in POSCAR format:
```
CaNdHo2
1.0
5.193 0.000 0.000
0.000 5.100 0.000
0.000 0.000 5.100
Ca Nd Ho
1 1 2
Direct
0.500 0.000 0.000
0.500 0.500 0.500
0.000 0.000 0.500
0.000 0.500 0.000
```

Calculated values
The value obtained for the total energy is -15.4 eV/cell. The space-group type is No. 123. The offset from the most stable computed form is 0.22 eV per formula unit. The calculation puts the formation energy at 0.12 eV per atom. Its volume is 33.77 Å³ per atom.

---

No. 6
Compound: Ca2Nd2Ho
Source: Alexandria via LeMat-Bulk
Functional: PBE
Structure: relaxed

The structure in POSCAR format:
```
Ca2Nd2Ho
1.0
-2.098 -2.821 -1.119
1.343 -2.461 -2.398
5.269 -8.578 11.765
Ca Nd Ho
2 2 1
Direct
0.334 0.334 0.607
0.666 0.666 0.393
0.334 0.334 0.184
0.666 0.666 0.816
0.000 0.000 0.000
```

Calculated values
The value obtained for the total energy is -17.9 eV/cell. The space-group type is No. 164. The offset from the most stable computed form is 0.00 eV per formula unit. The calculation puts the formation energy at 0.04 eV per atom. Its volume is 36.50 Å³ per atom.

---

No. 7
Compound: CaNd4Ho2
Source: Alexandria via LeMat-Bulk
Functional: PBE
Structure: relaxed

The structure in POSCAR format:
```
CaNd4Ho2
1.0
-2.953 -1.198 1.767
0.371 -2.117 2.942
-0.464 16.023 13.846
Ca Nd Ho
1 4 2
Direct
0.000 0.000 0.000
0.857 0.857 0.428
0.718 0.718 0.846
0.282 0.282 0.154
0.143 0.143 0.572
0.570 0.570 0.289
0.430 0.430 0.711
```

Calculated values
The value obtained for the total energy is -30.1 eV/cell. The space-group type is No. 166. The calculation puts the formation energy at 0.03 eV per atom. Its volume is 34.63 Å³ per atom.

---

No. 8
Compound: CaNd2Ho2
Source: Alexandria via LeMat-Bulk
Functional: PBE
Structure: relaxed

The structure in POSCAR format:
```
CaNd2Ho2
1.0
5.420 0.000 -1.317
0.000 3.570 -0.001
-0.626 0.000 9.235
Ca Nd Ho
1 2 2
Direct
0.000 0.500 0.000
0.622 0.000 0.244
0.378 0.000 0.756
0.799 0.500 0.598
0.201 0.500 0.402
```

Calculated values
The value obtained for the total energy is -20.5 eV/cell. The space-group type is No. 65. The calculation puts the formation energy at 0.04 eV per atom. Its volume is 35.15 Å³ per atom.

---

No. 9
Compound: Ca2Nd2Ho
Source: Alexandria via LeMat-Bulk
Functional: PBE
Structure: relaxed

The structure in POSCAR format:
```
Ca2Nd2Ho
1.0
4.619 0.000 0.000
0.000 4.619 0.000
-2.310 -2.310 8.813
Ca Nd Ho
2 2 1
Direct
0.750 0.250 0.500
0.250 0.750 0.500
0.412 0.412 0.824
0.588 0.588 0.176
0.000 0.000 0.000
```

Calculated values
The value obtained for the total energy is -16.2 eV/cell. The space-group type is No. 139. The offset from the most stable computed form is 1.73 eV per formula unit. The calculation puts the formation energy at 0.38 eV per atom. Its volume is 37.61 Å³ per atom.

---

No. 10
Compound: CaNd6Ho5
Source: Alexandria via LeMat-Bulk
Functional: PBE
Structure: relaxed

The structure in POSCAR format:
```
CaNd6Ho5
1.0
-0.904 -3.861 -4.878
7.360 -2.637 2.087
-2.640 -4.986 5.800
Ca Nd Ho
1 6 5
Direct
0.000 0.000 0.000
0.748 0.917 0.576
0.252 0.424 0.083
0.259 0.748 0.748
0.741 0.252 0.252
0.748 0.576 0.917
0.252 0.083 0.424
0.500 0.829 0.171
0.000 0.662 0.338
0.500 0.500 0.500
0.000 0.338 0.662
0.500 0.171 0.829
```

Calculated values
The value obtained for the total energy is -53.1 eV/cell. The space-group type is No. 12. The calculation puts the formation energy at 0.03 eV per atom. Its volume is 33.63 Å³ per atom.

---

No. 11
Compound: CaNdHo2
Source: Alexandria via LeMat-Bulk
Functional: PBE
Structure: relaxed

The structure in POSCAR format:
```
CaNdHo2
1.0
-2.311 2.818 0.255
-2.456 -1.834 -1.986
-3.980 -4.048 8.660
Ca Nd Ho
1 1 2
Direct
0.500 0.500 0.500
0.500 0.500 0.000
0.000 0.000 0.766
0.000 0.000 0.234
```

Calculated values
The value obtained for the total energy is -15.6 eV/cell. The space-group type is No. 123. The offset from the most stable computed form is 0.06 eV per formula unit. The calculation puts the formation energy at 0.08 eV per atom. Its volume is 34.54 Å³ per atom.

---

No. 12
Compound: CaNd6Ho
Source: Alexandria via LeMat-Bulk
Functional: PBE
Structure: relaxed

The structure in POSCAR format:
```
CaNd6Ho
1.0
6.519 -0.107 2.477
0.012 6.634 0.832
1.114 0.757 7.079
Ca Nd Ho
1 6 1
Direct
0.000 0.000 0.000
0.098 0.756 0.476
0.568 0.723 0.535
0.432 0.277 0.465
0.902 0.244 0.524
0.555 0.746 0.000
0.445 0.254 0.000
0.000 0.500 0.000
```

Calculated values
The value obtained for the total energy is -33.7 eV/cell. The space-group type is No. 2. The offset from the most stable computed form is 1.17 eV per formula unit. The calculation puts the formation energy at 0.19 eV per atom. Its volume is 35.46 Å³ per atom.